Entry 1:
K2TaHg: optimized geometry, GGA-PBE.

```
K2TaHg
1.0
-0.1298 -3.2573 5.8742
5.1824 -2.9541 3.0902
-1.9200 5.6718 -3.0459
K Hg Ta
2 1 1
Cartesian
0.0000 0.0000 0.0000
2.5263 -3.1057 4.4822
0.2383 -0.3456 3.6553
2.8944 -0.1940 2.2632
```

Results
crystal system = tetragonal

Entry 2:
AcAsO3: optimized geometry, GGA-PBE.

```
AcAsO3
1.0
-0.8003 -1.2541 3.8839
3.3256 -2.4949 -0.1203
2.3661 3.0824 1.4828
O As Ac
3 1 1
Cartesian
1.1830 1.5412 0.7414
1.6628 -1.2474 -0.0602
-0.4001 -0.6270 1.9420
0.0000 0.0000 0.0000
2.4457 -0.3333 2.6232
```

Results
crystal system = cubic

| no. | calculated total energy (eV per atom) |
| --- | --- |
| 1 | -2.510 |
| 2 | -6.755 |